(1)
First-principles (PBE) data for an optimized crystal structure of EuTmPt, as listed in the Alexandria database.

Lattice parameters (Å, degrees): 4.1521 4.1521 6.3655 90.00 90.00 120.00
Last column: nearest neighbours and their distance in Å.
Space group P3m1 (No. 156)
Symmetry-distinct sites (fractional):
Eu1 0.0000 0.0000 0.0000 (multiplicity 1)  3 Pt 2.97
Tm1 0.6667 0.3333 0.5164 (multiplicity 1)  3 Pt 2.74
Pt1 0.3333 0.6667 0.7233 (multiplicity 1)  3 Tm 2.74, 3 Eu 2.97

Computed properties:
As for the energy relative to the elements: -2.2 eV per formula unit.

---

(2)
First-principles (PBE) data for an optimized crystal structure of Li5CaAg, as listed in the Alexandria database.

Lattice parameters (Å, degrees): 3.9733 3.9733 9.8628 90.00 90.00 90.00
Last column: nearest neighbours and their distance in Å.
Space group P4/mmm (No. 123)
Symmetry-distinct sites (fractional):
Li1 0.0000 0.0000 0.0000 (multiplicity 1)  4 Ag 2.81, 8 Li 2.88
Li2 0.0000 0.5000 0.2113 (multiplicity 4)  6 Li 2.81-2.88, 2 Ag 2.88
Ca1 0.0000 0.0000 0.5000 (multiplicity 1)  8 Li 3.47
Ag1 0.5000 0.5000 0.0000 (multiplicity 1)  12 Li 2.81-2.88

Computed properties:
As for the energy relative to the elements: -0.1 eV per formula unit.

---

(3)
First-principles (PBE) data for an optimized crystal structure of Tb12Pr6Er, as listed in the Alexandria database.

Lattice parameters (Å, degrees): 11.1748 11.1748 17.7673 90.00 90.00 120.00
Last column: nearest neighbours and their distance in Å.
Space group R-3m (No. 166, hexagonal axes)
Symmetry-distinct sites (fractional):
Tb1 0.0990 0.5495 0.4125 (multiplicity 18)  5 Tb 3.48-3.82, 5 Pr 3.60-3.67
Tb2 0.1058 0.2116 0.4077 (multiplicity 18)  3 Pr 3.36-3.41, 5 Tb 3.48-3.55
Pr1 0.0700 0.5350 0.7679 (multiplicity 18)  1 Er 3.12, 3 Tb 3.36-3.41
Er1 0.0000 0.0000 0.0000 (multiplicity 3)  6 Pr 3.12

Computed properties:
As for the energy relative to the elements: 2.4 eV per formula unit.